{
  "formula": "NpCo3Cl2O6",
  "functional": "PBE+U",
  "state": "relaxed",
  "energy_ev_per_atom": -6.50,
  "sg": "No. 12",
  "lattice_angstrom": [[5.2887, -2.9742, 0.0000], [5.2887, 2.9742, 0.0000], [-1.1415, 0.0000, 5.0430]],
  "species": ["Np", "Co", "Co", "Co", "Cl", "Cl", "O", "O", "O", "O", "O", "O"],
  "fractional_positions": [[0.0000, 0.0000, 0.0000], [0.0000, 0.5000, 0.0000], [0.5000, 0.0000, 0.0000], [0.5000, 0.5000, 0.5000], [0.3015, 0.3015, 0.7096], [0.6985, 0.6985, 0.2904], [0.1806, 0.6765, 0.2128], [0.1994, 0.1994, 0.1785], [0.3235, 0.8194, 0.7872], [0.6765, 0.1806, 0.2128], [0.8006, 0.8006, 0.8215], [0.8194, 0.3235, 0.7872]]
}